VASP calculation (GGA+U) on K2OsWF after structural relaxation.

Computed properties:
* mass density: 3.6 g/cm³
* volume: 43.330 A^3/atom
* uncorrected energy: -3.632 eV per atom

a = 6.672 Å, b = 6.672 Å, c = 4.867 Å
α = 90.00°, β = 90.00°, γ = 90.00°
Sites, in units of the cell vectors:
1 K 0.000 0.500 0.000
2 K 0.500 0.000 0.000
3 Os 0.000 0.000 0.500
4 W 0.000 0.000 0.000
5 F 0.500 0.500 0.500